No. 1
Compound: HoAl4Ga
Source: the Alexandria database
Functional: PBE
Structure: optimized geometry

## Properties
The calculation puts the volume at 116 Å³/cell. For the energy above the most stable polymorph in this dataset, the calculation gives 72 meV per atom. The calculated formation energy comes out at -1.1 eV per formula unit.

a b c (Å): 5.4791 5.4791 5.4791
angles (deg): 60.00 60.00 60.00
Atoms (fractional coordinates):
1 Ho 0.0000 0.0000 0.0000
2 Al 0.3747 0.3747 0.3747
3 Al 0.3747 0.3747 0.8760
4 Al 0.3747 0.8760 0.3747
5 Al 0.8760 0.3747 0.3747
6 Ga 0.7500 0.7500 0.7500

No. 2
Compound: Ho8Al2Ga
Source: the Alexandria database
Functional: PBE
Structure: optimized geometry

## Properties
The calculation puts the volume at 299 Å³/cell. The calculated formation energy comes out at -2.5 eV per formula unit.

a b c (Å): 9.4591 9.4591 6.7047
angles (deg): 103.08 103.08 30.89
Atoms (fractional coordinates):
1 Ho 0.0215 0.0215 0.2687
2 Ho 0.2068 0.2068 0.8011
3 Ho 0.3435 0.3435 0.5324
4 Ho 0.4065 0.4065 0.0393
5 Ho 0.5935 0.5935 0.9607
6 Ho 0.6565 0.6565 0.4676
7 Ho 0.7932 0.7932 0.1989
8 Ho 0.9785 0.9785 0.7313
9 Al 0.1874 0.1874 0.2420
10 Al 0.8126 0.8126 0.7580
11 Ga 0.5000 0.5000 0.5000

No. 3
Compound: Ho7AlGa5
Source: the Alexandria database
Functional: PBE
Structure: optimized geometry

## Properties
The calculation puts the volume at 314 Å³/cell. The calculated formation energy comes out at -4.5 eV per formula unit.

a b c (Å): 7.7793 7.7793 7.7793
angles (deg): 133.37 100.63 97.41
Atoms (fractional coordinates):
1 Ho 0.0000 0.0000 0.0000
2 Ho 0.2961 0.6114 0.6846
3 Ho 0.3692 0.3692 0.0000
4 Ho 0.4195 0.0904 0.3291
5 Ho 0.7613 0.0904 0.6709
6 Ho 0.8416 0.3416 0.5000
7 Ho 0.9268 0.6114 0.3154
8 Al 0.6780 0.6780 0.0000
9 Ga 0.0952 0.0873 0.4709
10 Ga 0.0952 0.6242 0.0079
11 Ga 0.3462 0.8462 0.5000
12 Ga 0.6164 0.0873 0.9921
13 Ga 0.6164 0.6242 0.5291

- The highest calculated formation energy belongs to which entry?
  HoAl4Ga